DFT (GGA+U) results for VCuO4 after structural relaxation.

Summary:
crystal system	orthorhombic
total DFT energy (no corrections)	-6.40	eV/atom
N(E_F)	0.58	states/eV/f.u.
mass density	4.23	g cm⁻³

Unit cell a=5.671 b=6.220 c=7.954 alpha=90.00 beta=90.00 gamma=90.00
Space group Imma (No. 74)
Unique sites:
V (0.000, 0.250, 0.217) x4
Cu (0.250, 0.250, 0.750) x4
O (0.000, 0.058, 0.731) x8
O (0.243, 0.250, 0.090) x8